(1)
Here is a relaxed Rb3CuAg2Br9 crystal from Alexandria via LeMat-Bulk. Energies are from PBE.

The structure belongs to space group P-3m1 (No. 164); the cell edges are 7.5798, 7.5798 and 9.3049 Å and the angles 90.00°, 90.00° and 120.00°. The inequivalent atoms are Rb at (0.0000, 0.0000, 0.0000), Rb at (0.3333, 0.6667, 0.6666), Cu at (0.0000, 0.0000, 0.5000), Ag at (0.3333, 0.6667, 0.1734), Br at (0.0000, 0.5000, 0.0000) and Br at (0.1609, 0.3219, 0.3406).

The formation energy without anion corrections is -13.0 eV per formula unit.


(2)
Here is a relaxed ReTeP crystal from Alexandria via LeMat-Bulk. Energies are from PBE.

The structure belongs to space group P3m1 (No. 156); the cell edges are 3.3782, 3.3782 and 6.0375 Å and the angles 90.00°, 90.00° and 120.00°. The inequivalent atoms are Re at (0.0000, 0.0000, 0.0000), Te at (0.6667, 0.3333, 0.3304) and P at (0.3333, 0.6667, 0.7730).

The formation energy without anion corrections is 0.6 eV per formula unit. For the energy relative to the lowest polymorph listed for this composition, the calculation gives 0.0 meV/atom.


(3)
Here is a relaxed MnRePb2 crystal from Alexandria via LeMat-Bulk. Energies are from PBE.

The structure belongs to space group P4/mmm (No. 123); the cell edges are 3.478, 3.478 and 6.664 Å and the angles 90.00°, 90.00° and 90.00°. The inequivalent atoms are Mn at (0.000, 0.000, 0.000), Re at (0.000, 0.000, 0.500) and Pb at (0.500, 0.500, 0.259).

The formation energy comes out at 0.904 eV/atom. For the energy relative to the lowest polymorph listed for this composition, the calculation gives 488.1 meV/atom.


(4)
Here is a relaxed PmAl3Fe crystal from Alexandria via LeMat-Bulk. Energies are from PBE.

The structure belongs to space group Pm-3m (No. 221); the cell edges are 4.537, 4.537 and 4.537 Å and the angles 90.00°, 90.00° and 90.00°. The inequivalent atoms are Pm at (0.000, 0.000, 0.000), Al at (0.000, 0.500, 0.500) and Fe at (0.500, 0.500, 0.500).

The formation energy comes out at -0.372 eV/atom. For the energy relative to the lowest polymorph listed for this composition, the calculation gives 28.9 meV/atom.


The records above give, respectively, calculated density values of 4.50; 9.59; 13.51; 5.01 g/cm3.